No. 1
Rb2CuAgI4: optimized geometry, PBE.

CIF file:
```
data_Rb2CuAgI4
_chemical_formula_sum 'Rb4 Cu2 Ag2 I8'
_space_group_name_H-M_alt 'P 1'
_space_group_IT_number 1
_cell_length_a 16.7772
_cell_length_b 14.9033
_cell_length_c 8.6780
_cell_angle_alpha 86.47
_cell_angle_beta 62.45
_cell_angle_gamma 31.08
loop_
_space_group_symop_operation_xyz
'x,y,z'
loop_
_atom_site_label
_atom_site_type_symbol
_atom_site_fract_x
_atom_site_fract_y
_atom_site_fract_z
_atom_site_occupancy
Rb1 Rb 0.0445 0.0445 0.7055 1
Rb2 Rb 0.2945 0.2945 0.9555 1
Rb3 Rb 0.7055 0.7055 0.0445 1
Rb4 Rb 0.9555 0.9555 0.2945 1
Cu1 Cu 0.3750 0.3750 0.3750 1
Cu2 Cu 0.6250 0.6250 0.6250 1
Ag1 Ag 0.1250 0.1250 0.1250 1
Ag2 Ag 0.8750 0.8750 0.8750 1
I1 I 0.0127 0.3540 0.4435 1
I2 I 0.3101 0.5565 0.6460 1
I3 I 0.3540 0.0127 0.6899 1
I4 I 0.4435 0.6899 0.0127 1
I5 I 0.5565 0.3101 0.9873 1
I6 I 0.6460 0.9873 0.3101 1
I7 I 0.6899 0.4435 0.3540 1
I8 I 0.9873 0.6460 0.5565 1
```

Properties
Its formation energy without anion corrections is -0.82 eV per atom. The total magnetization is 0.1 μB per formula unit. Its space group is Fddd. Its total energy is -2.70 eV/atom.

---

No. 2
Ag2Sb2Cl: optimized geometry, PBE.

CIF file:
```
data_Ag2Sb2Cl
_chemical_formula_sum 'Ag4 Sb4 Cl2'
_space_group_name_H-M_alt 'P 1'
_space_group_IT_number 1
_cell_length_a 8.4184
_cell_length_b 8.4184
_cell_length_c 3.3217
_cell_angle_alpha 90.00
_cell_angle_beta 90.00
_cell_angle_gamma 90.00
loop_
_space_group_symop_operation_xyz
'x,y,z'
loop_
_atom_site_label
_atom_site_type_symbol
_atom_site_fract_x
_atom_site_fract_y
_atom_site_fract_z
_atom_site_occupancy
Ag1 Ag 0.1212 0.3788 0.0000 1
Ag2 Ag 0.3788 0.8788 0.0000 1
Ag3 Ag 0.6212 0.1212 0.0000 1
Ag4 Ag 0.8788 0.6212 0.0000 1
Sb1 Sb 0.1793 0.6793 0.5000 1
Sb2 Sb 0.3207 0.1793 0.5000 1
Sb3 Sb 0.6793 0.8207 0.5000 1
Sb4 Sb 0.8207 0.3207 0.5000 1
Cl1 Cl 0.0000 0.0000 0.5000 1
Cl2 Cl 0.5000 0.5000 0.5000 1
```

Properties
Its formation energy without anion corrections is 0.05 eV per atom. The distance to the lowest polymorph of the same formula is 0 meV/atom. The total magnetization is 0.0 μB per formula unit. Its space group is P4/mbm. Its total energy is -3.10 eV/atom.

---

No. 3
BTe3As: optimized geometry, PBE.

CIF file:
```
data_BTe3As
_chemical_formula_sum 'B1 Te3 As1'
_space_group_name_H-M_alt 'P 1'
_space_group_IT_number 1
_cell_length_a 5.4391
_cell_length_b 5.4391
_cell_length_c 5.4391
_cell_angle_alpha 90.00
_cell_angle_beta 90.00
_cell_angle_gamma 90.00
loop_
_space_group_symop_operation_xyz
'x,y,z'
loop_
_atom_site_label
_atom_site_type_symbol
_atom_site_fract_x
_atom_site_fract_y
_atom_site_fract_z
_atom_site_occupancy
B1 B 0.0000 0.0000 0.0000 1
Te1 Te 0.0000 0.5000 0.5000 1
Te2 Te 0.5000 0.0000 0.5000 1
Te3 Te 0.5000 0.5000 0.0000 1
As1 As 0.5000 0.5000 0.5000 1
```

Properties
Its formation energy without anion corrections is 1.35 eV per atom. The distance to the lowest polymorph of the same formula is 550 meV/atom. The total magnetization is 0.0 μB per formula unit. Its space group is Pm-3m. Its total energy is -2.80 eV/atom.

---

No. 4
KSrPb4: optimized geometry, PBE.

CIF file:
```
data_KSrPb4
_chemical_formula_sum 'K1 Sr1 Pb4'
_space_group_name_H-M_alt 'P 1'
_space_group_IT_number 1
_cell_length_a 6.7039
_cell_length_b 6.7039
_cell_length_c 6.7039
_cell_angle_alpha 60.00
_cell_angle_beta 60.00
_cell_angle_gamma 60.00
loop_
_space_group_symop_operation_xyz
'x,y,z'
loop_
_atom_site_label
_atom_site_type_symbol
_atom_site_fract_x
_atom_site_fract_y
_atom_site_fract_z
_atom_site_occupancy
K1 K 0.0000 0.0000 0.0000 1
Sr1 Sr 0.2500 0.2500 0.2500 1
Pb1 Pb 0.1325 0.6225 0.6225 1
Pb2 Pb 0.6225 0.1325 0.6225 1
Pb3 Pb 0.6225 0.6225 0.1325 1
Pb4 Pb 0.6225 0.6225 0.6225 1
```

Properties
The calculation puts the formation energy at -0.262 eV per atom. The distance to the lowest polymorph of the same formula is 0 meV/atom. The total magnetization is 0.0 μB per formula unit. Its space group is F-43m. Its total energy is -3.20 eV/atom.

---

No. 5
Li2DyCd2Ag2: optimized geometry, PBE.

CIF file:
```
data_Li2DyCd2Ag2
_chemical_formula_sum 'Li4 Dy2 Cd4 Ag4'
_space_group_name_H-M_alt 'P 1'
_space_group_IT_number 1
_cell_length_a 8.3355
_cell_length_b 4.8048
_cell_length_c 7.5796
_cell_angle_alpha 90.00
_cell_angle_beta 111.21
_cell_angle_gamma 90.00
loop_
_space_group_symop_operation_xyz
'x,y,z'
loop_
_atom_site_label
_atom_site_type_symbol
_atom_site_fract_x
_atom_site_fract_y
_atom_site_fract_z
_atom_site_occupancy
Li1 Li 0.1507 0.0000 0.4528 1
Li2 Li 0.3493 0.5000 0.5472 1
Li3 Li 0.6507 0.5000 0.4528 1
Li4 Li 0.8493 0.0000 0.5472 1
Dy1 Dy 0.0000 0.0000 0.0000 1
Dy2 Dy 0.5000 0.5000 0.0000 1
Cd1 Cd 0.0733 0.5000 0.7169 1
Cd2 Cd 0.4267 0.0000 0.2831 1
Cd3 Cd 0.5733 0.0000 0.7169 1
Cd4 Cd 0.9267 0.5000 0.2831 1
Ag1 Ag 0.2246 0.5000 0.1766 1
Ag2 Ag 0.2754 0.0000 0.8234 1
Ag3 Ag 0.7246 0.0000 0.1766 1
Ag4 Ag 0.7754 0.5000 0.8234 1
```

Properties
The calculation puts the formation energy at -0.247 eV per atom. The total magnetization is 0.0 μB per formula unit. Its space group is C2/m. Its total energy is -2.53 eV/atom.

---

No. 6
Al2IrPt3: optimized geometry, PBE.

CIF file:
```
data_Al2IrPt3
_chemical_formula_sum 'Al4 Ir2 Pt6'
_space_group_name_H-M_alt 'P 1'
_space_group_IT_number 1
_cell_length_a 7.4669
_cell_length_b 7.4669
_cell_length_c 7.4669
_cell_angle_alpha 137.26
_cell_angle_beta 61.64
_cell_angle_gamma 137.77
loop_
_space_group_symop_operation_xyz
'x,y,z'
loop_
_atom_site_label
_atom_site_type_symbol
_atom_site_fract_x
_atom_site_fract_y
_atom_site_fract_z
_atom_site_occupancy
Al1 Al 0.1333 0.2420 0.3754 1
Al2 Al 0.3667 0.7420 0.1087 1
Al3 Al 0.6333 0.2580 0.8913 1
Al4 Al 0.8667 0.7580 0.6246 1
Ir1 Ir 0.2500 0.7500 0.5000 1
Ir2 Ir 0.7500 0.2500 0.5000 1
Pt1 Pt 0.1775 0.7262 0.9037 1
Pt2 Pt 0.2500 0.2500 0.0000 1
Pt3 Pt 0.3225 0.2262 0.5486 1
Pt4 Pt 0.6775 0.7738 0.4514 1
Pt5 Pt 0.7500 0.7500 0.0000 1
Pt6 Pt 0.8225 0.2738 0.0963 1
```

Properties
The calculation puts the formation energy at -0.569 eV per atom. The total magnetization is 0.0 μB per formula unit. Its space group is Ibam. Its total energy is -6.31 eV/atom.

---

No. 7
CsPaCdS4: optimized geometry, PBE.

CIF file:
```
data_CsPaCdS4
_chemical_formula_sum 'Cs2 Pa2 Cd2 S8'
_space_group_name_H-M_alt 'P 1'
_space_group_IT_number 1
_cell_length_a 9.1530
_cell_length_b 9.1530
_cell_length_c 9.1530
_cell_angle_alpha 131.73
_cell_angle_beta 126.46
_cell_angle_gamma 74.94
loop_
_space_group_symop_operation_xyz
'x,y,z'
loop_
_atom_site_label
_atom_site_type_symbol
_atom_site_fract_x
_atom_site_fract_y
_atom_site_fract_z
_atom_site_occupancy
Cs1 Cs 0.4174 0.1674 0.2500 1
Cs2 Cs 0.5826 0.8326 0.7500 1
Pa1 Pa 0.0000 0.5000 0.5000 1
Pa2 Pa 0.5000 0.5000 0.0000 1
Cd1 Cd 0.0000 0.0000 0.5000 1
Cd2 Cd 0.0000 0.5000 0.0000 1
S1 S 0.1420 0.6853 0.4567 1
S2 S 0.2479 0.2773 0.5294 1
S3 S 0.2479 0.7185 0.9706 1
S4 S 0.2714 0.3147 0.9567 1
S5 S 0.7286 0.6853 0.0433 1
S6 S 0.7521 0.2815 0.0294 1
S7 S 0.7521 0.7227 0.4706 1
S8 S 0.8580 0.3147 0.5433 1
```

Properties
Its formation energy without anion corrections is -1.15 eV per atom. The total magnetization is 0.0 μB per formula unit. Its space group is Imma. Its total energy is -5.12 eV/atom.

---

No. 8
CePmDy2S4: optimized geometry, PBE.

CIF file:
```
data_CePmDy2S4
_chemical_formula_sum 'Ce1 Pm1 Dy2 S4'
_space_group_name_H-M_alt 'P 1'
_space_group_IT_number 1
_cell_length_a 6.8479
_cell_length_b 3.9406
_cell_length_c 6.9257
_cell_angle_alpha 90.00
_cell_angle_beta 109.15
_cell_angle_gamma 90.00
loop_
_space_group_symop_operation_xyz
'x,y,z'
loop_
_atom_site_label
_atom_site_type_symbol
_atom_site_fract_x
_atom_site_fract_y
_atom_site_fract_z
_atom_site_occupancy
Ce1 Ce 0.0000 0.0000 0.0000 1
Pm1 Pm 0.5000 0.5000 0.0000 1
Dy1 Dy 0.0000 0.5000 0.5000 1
Dy2 Dy 0.5000 0.0000 0.5000 1
S1 S 0.2456 0.0000 0.7383 1
S2 S 0.2537 0.5000 0.2616 1
S3 S 0.7463 0.5000 0.7384 1
S4 S 0.7544 0.0000 0.2617 1
```

Properties
Its formation energy without anion corrections is -2.03 eV per atom. The total magnetization is 0.8 μB per formula unit. Its space group is P2/m. Its total energy is -6.58 eV/atom.

---

No. 9
BaAs2RuBr: optimized geometry, PBE.

CIF file:
```
data_BaAs2RuBr
_chemical_formula_sum 'Ba1 As2 Ru1 Br1'
_space_group_name_H-M_alt 'P 1'
_space_group_IT_number 1
_cell_length_a 4.7980
_cell_length_b 4.7980
_cell_length_c 5.7373
_cell_angle_alpha 90.00
_cell_angle_beta 90.00
_cell_angle_gamma 90.00
loop_
_space_group_symop_operation_xyz
'x,y,z'
loop_
_atom_site_label
_atom_site_type_symbol
_atom_site_fract_x
_atom_site_fract_y
_atom_site_fract_z
_atom_site_occupancy
Ba1 Ba 0.0000 0.0000 0.0000 1
As1 As 0.0000 0.5000 0.5000 1
As2 As 0.5000 0.0000 0.5000 1
Ru1 Ru 0.5000 0.5000 0.5000 1
Br1 Br 0.5000 0.5000 0.0000 1
```

Properties
Its formation energy without anion corrections is -0.48 eV per atom. The distance to the lowest polymorph of the same formula is 0 meV/atom. The total magnetization is 0.0 μB per formula unit. Its space group is P4/mmm. Its total energy is -4.92 eV/atom.

---

No. 10
Dy2Ho3Tm2: optimized geometry, PBE.

CIF file:
```
data_Dy2Ho3Tm2
_chemical_formula_sum 'Dy2 Ho3 Tm2'
_space_group_name_H-M_alt 'P 1'
_space_group_IT_number 1
_cell_length_a 3.5061
_cell_length_b 6.0793
_cell_length_c 10.5472
_cell_angle_alpha 84.37
_cell_angle_beta 89.88
_cell_angle_gamma 73.25
loop_
_space_group_symop_operation_xyz
'x,y,z'
loop_
_atom_site_label
_atom_site_type_symbol
_atom_site_fract_x
_atom_site_fract_y
_atom_site_fract_z
_atom_site_occupancy
Dy1 Dy 0.2146 0.0706 0.3568 1
Dy2 Dy 0.7854 0.9294 0.6432 1
Ho1 Ho 0.3572 0.7855 0.9289 1
Ho2 Ho 0.5000 0.5000 0.5000 1
Ho3 Ho 0.6428 0.2145 0.0711 1
Tm1 Tm 0.0715 0.3576 0.7865 1
Tm2 Tm 0.9285 0.6424 0.2135 1
```

Properties
The calculation puts the formation energy at 0.023 eV per atom. The total magnetization is 0.0 μB per formula unit. Its space group is P-1. Its total energy is -4.53 eV/atom.